Entry 1:
NdSm5In8: relaxed, PBE-GGA.

POSCAR file:
```
NdSm5In8
1.0
8.100 0.011 -0.018
-2.731 7.625 0.018
-2.639 -3.850 6.619
In Sm Nd
8 5 1
Direct
0.124 0.752 0.047
0.460 0.580 0.209
0.953 0.077 0.705
0.628 0.923 0.876
0.791 0.251 0.371
0.120 0.749 0.540
0.295 0.248 0.372
0.629 0.420 0.880
0.004 0.376 0.125
0.875 0.879 0.250
0.372 0.121 0.996
0.750 0.624 0.628
0.500 0.000 0.500
0.250 0.500 0.750
```

## Properties
Final energy = -0.1457 hartree per atom
Density of states at the Fermi level = 0.93 states/eV per atom
Energy of formation from the pure elements = -375 meV per atom

---

Entry 2:
Nd4Sm5In: relaxed, PBE-GGA.

POSCAR file:
```
Nd4Sm5In
1.0
4.248 0.000 0.000
0.000 4.248 0.000
0.000 0.000 18.305
Sm Nd In
5 4 1
Direct
0.500 0.500 0.708
0.500 0.500 0.500
0.500 0.500 0.912
0.500 0.500 0.088
0.500 0.500 0.292
0.000 0.000 0.398
0.000 0.000 0.196
0.000 0.000 0.804
0.000 0.000 0.602
0.000 0.000 0.000
```

## Properties
Final energy = -0.1669 hartree per atom
Density of states at the Fermi level = 1.69 states/eV per atom
Energy of formation from the pure elements = 0 meV per atom

---

Entry 3:
Nd3Sm6In: relaxed, PBE-GGA.

POSCAR file:
```
Nd3Sm6In
1.0
-0.800 3.166 -1.592
-6.538 -6.047 -8.742
-11.666 1.639 9.118
Sm Nd In
12 6 2
Direct
0.750 0.442 0.105
0.250 0.810 0.613
0.250 0.210 0.182
0.250 0.558 0.895
0.750 0.790 0.818
0.750 0.112 0.004
0.250 0.888 0.996
0.750 0.190 0.387
0.750 0.621 0.456
0.250 0.693 0.244
0.250 0.379 0.544
0.750 0.307 0.756
0.250 0.428 0.318
0.250 0.103 0.582
0.750 0.572 0.682
0.750 0.947 0.197
0.750 0.897 0.418
0.250 0.053 0.803
0.250 0.308 0.945
0.750 0.692 0.055
```

## Properties
Final energy = -0.1671 hartree per atom
Density of states at the Fermi level = 1.36 states/eV per atom
Energy of formation from the pure elements = -10 meV per atom

---

Entry 4:
Nd3SmIn3: relaxed, PBE-GGA.

POSCAR file:
```
Nd3SmIn3
1.0
9.577 0.000 0.000
0.000 9.577 0.000
0.000 0.000 9.577
In Nd Sm
12 12 4
Direct
0.873 0.001 0.252
0.999 0.752 0.627
0.001 0.252 0.873
0.501 0.248 0.127
0.499 0.748 0.373
0.127 0.501 0.248
0.627 0.999 0.752
0.252 0.873 0.001
0.748 0.373 0.499
0.752 0.627 0.999
0.373 0.499 0.748
0.248 0.127 0.501
0.427 0.573 0.073
0.927 0.927 0.927
0.175 0.175 0.175
0.675 0.325 0.825
0.174 0.826 0.326
0.325 0.825 0.675
0.573 0.073 0.427
0.825 0.675 0.325
0.073 0.427 0.573
0.826 0.326 0.174
0.674 0.674 0.674
0.326 0.174 0.826
0.425 0.425 0.425
0.075 0.575 0.925
0.575 0.925 0.075
0.925 0.075 0.575
```

## Properties
Final energy = -0.1555 hartree per atom
Density of states at the Fermi level = 1.18 states/eV per atom
Energy of formation from the pure elements = -339 meV per atom

---

Entry 5:
Nd5SmIn3: relaxed, PBE-GGA.

POSCAR file:
```
Nd5SmIn3
1.0
-4.820 0.055 -4.981
-1.885 -9.281 1.722
-4.821 6.851 4.740
In Nd Sm
6 10 2
Direct
0.750 0.000 0.669
0.750 0.669 0.000
0.250 0.331 0.000
0.250 0.000 0.331
0.250 0.669 0.669
0.750 0.331 0.331
0.750 0.666 0.666
0.250 0.334 0.334
0.000 0.333 0.667
0.250 0.000 0.666
0.500 0.333 0.667
0.250 0.666 0.000
0.500 0.667 0.333
0.750 0.334 0.000
0.750 0.000 0.334
0.000 0.667 0.333
0.000 0.000 0.000
0.500 0.000 0.000
```

## Properties
Final energy = -0.1628 hartree per atom
Density of states at the Fermi level = 1.43 states/eV per atom
Energy of formation from the pure elements = -343 meV per atom

---

Entry 6:
NdSm7In2: relaxed, PBE-GGA.

POSCAR file:
```
NdSm7In2
1.0
5.513 0.000 0.000
0.000 9.113 -0.204
0.000 -4.204 8.088
Nd Sm In
1 7 2
Direct
0.000 0.000 0.000
0.500 0.500 0.500
0.500 0.060 0.303
0.500 0.940 0.697
0.500 0.303 0.060
0.000 0.772 0.228
0.000 0.228 0.772
0.500 0.697 0.940
0.500 0.696 0.304
0.500 0.304 0.696
```

## Properties
Final energy = -0.1471 hartree per atom
Density of states at the Fermi level = 2.11 states/eV per atom
Energy of formation from the pure elements = 326 meV per atom

---

Entry 7:
Nd2Sm7In: relaxed, PBE-GGA.

POSCAR file:
```
Nd2Sm7In
1.0
5.416 0.000 0.000
0.000 9.290 -0.641
0.000 -4.673 8.055
Sm Nd In
7 2 1
Direct
0.000 0.791 0.209
0.000 0.209 0.791
0.500 0.280 0.071
0.500 0.720 0.929
0.500 0.929 0.720
0.500 0.071 0.280
0.500 0.500 0.500
0.500 0.708 0.292
0.500 0.292 0.708
0.000 0.000 0.000
```

## Properties
Final energy = -0.1476 hartree per atom
Density of states at the Fermi level = 1.10 states/eV per atom
Energy of formation from the pure elements = 515 meV per atom

---

Entry 8:
Nd4Sm4In: relaxed, PBE-GGA.

POSCAR file:
```
Nd4Sm4In
1.0
-0.842 4.915 -0.489
-7.879 1.051 -1.541
-1.830 2.967 7.308
Nd Sm In
4 4 1
Direct
0.661 0.678 0.000
0.339 0.322 0.000
0.339 0.000 0.322
0.661 0.000 0.678
0.000 0.334 0.666
0.000 0.666 0.334
0.666 0.334 0.334
0.334 0.666 0.666
0.000 0.000 0.000
```

## Properties
Final energy = -0.1688 hartree per atom
Density of states at the Fermi level = 1.42 states/eV per atom
Energy of formation from the pure elements = -72 meV per atom

---

> Which of these has the highest density of states at the Fermi level?

NdSm7In2